1.
Computed, not measured: a relaxed LaDy2Ho crystal at the PBE level of DFT.

D(E_F) ... 7.76 states/eV/f.u.
Polymorph energy (0 for the lowest one) ... 0.1214 eV per atom
V ... 33.25 Å³/atom
Energy of formation from the pure elements ... 0.52 eV per formula unit
Total moment ... 0.0 μB per cell
Uncorrected energy ... -18.2 eV/cell

a = 5.7295 Å, b = 5.7295 Å, c = 5.7295 Å
α = 60.00°, β = 60.00°, γ = 60.00°
With the nearest neighbours (Å) after each atom.
Element x y z (fractional)
La (0.5000, 0.5000, 0.5000)  8 Dy 3.51
Ho (0.0000, 0.0000, 0.0000)  8 Dy 3.51
Dy (0.2500, 0.2500, 0.2500)  4 La 3.51, 4 Ho 3.51
Dy (0.7500, 0.7500, 0.7500)  4 La 3.51, 4 Ho 3.51


2.
Computed, not measured: a relaxed CaOsCl2 crystal at the PBE level of DFT.

D(E_F) ... 5.45 states/eV/f.u.
Polymorph energy (0 for the lowest one) ... 0.9006 eV per atom
V ... 23.30 Å³/atom
Raw formation energy ... 0.490 eV per atom
Total moment ... 4.0 μB per cell
Uncorrected energy ... -15.0 eV/cell

a = 5.0888 Å, b = 5.0888 Å, c = 5.0888 Å
α = 60.00°, β = 60.00°, γ = 60.00°
With the nearest neighbours (Å) after each atom.
Element x y z (fractional)
Ca (0.5000, 0.5000, 0.5000)  4 Os 3.12, 4 Cl 3.12
Os (0.7500, 0.7500, 0.7500)  4 Cl 3.12, 4 Ca 3.12
Cl (0.0000, 0.0000, 0.0000)  4 Cl 3.12, 4 Os 3.12
Cl (0.2500, 0.2500, 0.2500)  4 Ca 3.12, 4 Cl 3.12


3.
Computed, not measured: a relaxed TaHgCl2 crystal at the PBE level of DFT.

D(E_F) ... 2.83 states/eV/f.u.
Polymorph energy (0 for the lowest one) ... 1.1398 eV per atom
V ... 21.18 Å³/atom
Raw formation energy ... 0.562 eV per atom
Total moment ... 2.1 μB per cell
Uncorrected energy ... -13.6 eV/cell

a = 5.1599 Å, b = 5.1599 Å, c = 3.1820 Å
α = 90.00°, β = 90.00°, γ = 90.00°
With the nearest neighbours (Å) after each atom.
Element x y z (fractional)
Cl (0.0000, 0.0000, 0.0000)  4 Hg 3.03, 4 Ta 3.03, 2 Cl 3.18
Cl (0.5000, 0.5000, 0.0000)  4 Ta 3.03, 4 Hg 3.03, 2 Cl 3.18
Hg (0.5000, 0.0000, 0.5000)  8 Cl 3.03, 2 Hg 3.18
Ta (0.0000, 0.5000, 0.5000)  8 Cl 3.03, 2 Ta 3.18


4.
Computed, not measured: a relaxed Nb6CdS8 crystal at the PBE level of DFT.

D(E_F) ... 8.87 states/eV/f.u.
Polymorph energy (0 for the lowest one) ... 0.1351 eV per atom
V ... 20.48 Å³/atom
Raw formation energy ... -0.875 eV per atom
Total moment ... 0.0 μB per cell
Uncorrected energy ... -107.5 eV/cell

a = 6.7505 Å, b = 6.7505 Å, c = 6.7505 Å
α = 91.77°, β = 91.77°, γ = 91.77°
With the nearest neighbours (Å) after each atom.
Element x y z (fractional)
Nb (0.5972, 0.4509, 0.7962)  5 S 2.49-2.56
Nb (0.4509, 0.7962, 0.5972)  5 S 2.49-2.56
Nb (0.7962, 0.5972, 0.4509)  5 S 2.49-2.56
Nb (0.4028, 0.5491, 0.2038)  5 S 2.49-2.56
Nb (0.5491, 0.2038, 0.4028)  5 S 2.49-2.56
Nb (0.2038, 0.4028, 0.5491)  5 S 2.49-2.56
Cd (0.0000, 0.0000, 0.0000)  2 S 2.51
S (0.7783, 0.7783, 0.7783)  3 Nb 2.50, 1 Cd 2.51
S (0.2217, 0.2217, 0.2217)  3 Nb 2.50, 1 Cd 2.51
S (0.6052, 0.8626, 0.2703)  4 Nb 2.49-2.56
S (0.8626, 0.2703, 0.6052)  4 Nb 2.49-2.56
S (0.2703, 0.6052, 0.8626)  4 Nb 2.49-2.56
S (0.3948, 0.1374, 0.7297)  4 Nb 2.49-2.56
S (0.1374, 0.7297, 0.3948)  4 Nb 2.49-2.56
S (0.7297, 0.3948, 0.1374)  4 Nb 2.49-2.56


5.
Computed, not measured: a relaxed PmNd3Y6Er2 crystal at the PBE level of DFT.

D(E_F) ... 16.45 states/eV/f.u.
V ... 32.78 Å³/atom
Energy of formation from the pure elements ... 0.20 eV per formula unit
Total moment ... 0.0 μB per cell
Uncorrected energy ... -66.8 eV/cell

a = 6.2311 Å, b = 6.2311 Å, c = 11.8757 Å
α = 95.00°, β = 95.00°, γ = 119.97°
With the nearest neighbours (Å) after each atom.
Element x y z (fractional)
Pm (0.0000, 0.0000, 0.0000)  6 Y 3.56, 6 Er 3.60
Nd (0.1669, 0.8331, 0.5000)  6 Nd 3.59-3.60, 6 Y 3.61-3.62
Nd (0.8331, 0.1669, 0.5000)  6 Nd 3.59-3.60, 6 Y 3.61-3.62
Nd (0.5000, 0.5000, 0.5000)  6 Nd 3.59-3.60, 6 Y 3.61-3.62
Y (0.9175, 0.5836, 0.7529)  2 Er 3.56, 1 Pm 3.56, 6 Y 3.59-3.61, 3 Nd 3.61-3.62
Y (0.7485, 0.7485, 0.2471)  2 Er 3.56, 1 Pm 3.56, 6 Y 3.59-3.61, 3 Nd 3.61-3.62
Y (0.0825, 0.4164, 0.2471)  2 Er 3.56, 1 Pm 3.56, 6 Y 3.59-3.61, 3 Nd 3.61-3.62
Y (0.5836, 0.9175, 0.7529)  2 Er 3.56, 1 Pm 3.56, 6 Y 3.59-3.61, 3 Nd 3.61-3.62
Y (0.2515, 0.2515, 0.7529)  2 Er 3.56, 1 Pm 3.56, 6 Y 3.59-3.61, 3 Nd 3.61-3.62
Y (0.4164, 0.0825, 0.2471)  2 Er 3.56, 1 Pm 3.56, 6 Y 3.59-3.61, 3 Nd 3.61-3.62
Er (0.3333, 0.6667, 0.0000)  6 Y 3.56, 3 Pm 3.60, 3 Er 3.60
Er (0.6667, 0.3333, 0.0000)  6 Y 3.56, 3 Pm 3.60, 3 Er 3.60


6.
Computed, not measured: a relaxed Al2ZnCd crystal at the PBE level of DFT.

D(E_F) ... 1.27 states/eV/f.u.
Polymorph energy (0 for the lowest one) ... 0.0073 eV per atom
V ... 17.92 Å³/atom
Energy of formation from the pure elements ... 0.25 eV per formula unit
Total moment ... 0.0 μB per cell
Uncorrected energy ... -9.4 eV/cell

a = 9.3420 Å, b = 9.3420 Å, c = 9.3420 Å
α = 18.49°, β = 18.49°, γ = 18.49°
With the nearest neighbours (Å) after each atom.
Element x y z (fractional)
Zn (0.7444, 0.7444, 0.7444)  3 Al 2.70, 3 Cd 2.96, 6 Zn 3.00
Al (0.0027, 0.0027, 0.0027)  3 Zn 2.70, 9 Al 2.83-3.00
Al (0.2546, 0.2546, 0.2546)  9 Al 2.83-3.00, 3 Cd 3.01
Cd (0.4983, 0.4983, 0.4983)  3 Zn 2.96, 6 Cd 3.00, 3 Al 3.01


7.
Computed, not measured: a relaxed AlZnCd4 crystal at the PBE level of DFT.

D(E_F) ... 1.17 states/eV/f.u.
V ... 22.68 Å³/atom
Energy of formation from the pure elements ... 1.56 eV per formula unit
Total moment ... 0.0 μB per cell
Uncorrected energy ... -7.1 eV/cell

a = 5.7738 Å, b = 5.7738 Å, c = 5.7738 Å
α = 60.00°, β = 60.00°, γ = 60.00°
With the nearest neighbours (Å) after each atom.
Element x y z (fractional)
Al (0.0000, 0.0000, 0.0000)  12 Cd 3.39, 4 Zn 3.54
Zn (0.7500, 0.7500, 0.7500)  12 Cd 3.38, 4 Al 3.54
Cd (0.8747, 0.3751, 0.3751)  6 Cd 2.88-2.89
Cd (0.3751, 0.3751, 0.8747)  6 Cd 2.88-2.89
Cd (0.3751, 0.8747, 0.3751)  6 Cd 2.88-2.89
Cd (0.3751, 0.3751, 0.3751)  6 Cd 2.88-2.89


8.
Computed, not measured: a relaxed Al2VFe crystal at the PBE level of DFT.

D(E_F) ... 3.62 states/eV/f.u.
V ... 14.78 Å³/atom
Energy of formation from the pure elements ... 0.71 eV per formula unit
Total moment ... 2.4 μB per cell
Uncorrected energy ... -24.4 eV/cell

a = 2.7135 Å, b = 2.7135 Å, c = 9.4045 Å
α = 81.71°, β = 81.71°, γ = 60.00°
With the nearest neighbours (Å) after each atom.
Element x y z (fractional)
Al (0.0889, 0.0889, 0.7333)  1 Fe 2.47, 3 V 2.67, 6 Al 2.71
Al (0.9111, 0.9111, 0.2667)  1 Fe 2.47, 3 V 2.67, 6 Al 2.71
Fe (0.0000, 0.0000, 0.0000)  2 Al 2.47, 6 Fe 2.71
V (0.5000, 0.5000, 0.5000)  6 Al 2.67, 6 V 2.71